9
Lattice="-7.752 0.203 3.503 2.357 -6.669 -4.731 1.308 -1.659 2.990" Properties=species:S:1:pos:R:3 comment="SmNiBi | OQMD via LeMat-Bulk | PBE | relaxed" space_group="P-62m (189)" energy_ev_per_atom=-4.79 pbc="T T T"
Ni -1.099 -2.930 1.096
Ni -4.580 -0.692 3.860
Ni 2.245 -5.332 -1.699
Sm 0.684 -1.935 -1.372
Sm -3.829 -4.590 -0.871
Sm -2.249 0.059 1.016
Bi -1.012 -4.378 -1.986
Bi 0.654 -0.829 1.495
Bi -4.382 -2.087 0.759